# 1
{
  "formula": "Pm2H3Se",
  "functional": "PBE",
  "state": "relaxed",
  "lattice_angstrom": [[-0.546, -3.228, 2.162], [3.007, 2.397, 0.778], [-3.900, 3.509, 4.256]],
  "species": ["H", "H", "H", "Pm", "Pm", "Se"],
  "fractional_positions": [[0.333, 0.667, 0.630], [0.667, 0.333, 0.370], [0.000, 0.000, 0.500], [0.667, 0.333, 0.723], [0.333, 0.667, 0.277], [0.000, 0.000, 0.000]],
  "final_energy_ha_per_atom": -0.177,
  "space_group": "P-3m1 (164)"
}

# 2
{
  "formula": "CsGaGe2Cl8",
  "functional": "PBE",
  "state": "relaxed",
  "lattice_angstrom": [[-1.723, 5.227, -3.174], [-5.506, -2.739, -4.168], [-7.945, 2.262, 4.680]],
  "species": ["Cl", "Cl", "Cl", "Cl", "Cl", "Cl", "Cl", "Cl", "Ge", "Ge", "Cs", "Ga"],
  "fractional_positions": [[0.193, 0.840, 0.842], [0.708, 0.796, 0.031], [0.838, 0.248, 0.782], [0.807, 0.160, 0.158], [0.292, 0.204, 0.969], [0.560, 0.761, 0.427], [0.162, 0.752, 0.218], [0.440, 0.239, 0.573], [0.468, 0.394, 0.751], [0.532, 0.606, 0.249], [0.000, 0.000, 0.500], [0.000, 0.000, 0.000]],
  "raw_formation_energy_mev_per_atom": -1061,
  "space_group": "P-1 (2)"
}

# 3
{
  "formula": "Na5CdHg8",
  "functional": "PBE",
  "state": "relaxed",
  "lattice_angstrom": [[-3.850, -2.388, -6.492], [-0.763, -5.432, 5.708], [-3.073, 6.879, 2.430]],
  "species": ["Na", "Na", "Na", "Na", "Na", "Hg", "Hg", "Hg", "Hg", "Hg", "Hg", "Hg", "Hg", "Cd"],
  "fractional_positions": [[0.008, 0.336, 0.111], [0.775, 0.664, 0.672], [0.889, 0.897, 0.225], [0.328, 0.103, 0.992], [0.500, 0.000, 0.500], [0.130, 0.716, 0.049], [0.772, 0.267, 0.366], [0.634, 0.407, 0.901], [0.099, 0.733, 0.506], [0.333, 0.284, 0.415], [0.951, 0.082, 0.667], [0.585, 0.918, 0.870], [0.494, 0.593, 0.228], [0.250, 0.500, 0.750]],
  "final_energy_ha_per_atom": -0.032,
  "space_group": "I-4 (82)"
}

# 4
{
  "formula": "LiLaPtAu",
  "functional": "PBE",
  "state": "relaxed",
  "lattice_angstrom": [[4.448, 0.000, 0.000], [-2.224, 3.852, -0.004], [0.000, -2.567, 5.023]],
  "species": ["Pt", "La", "Li", "Au"],
  "fractional_positions": [[0.401, 0.801, 0.845], [0.622, 0.243, 0.507], [0.113, 0.226, 0.981], [0.831, 0.662, 0.135]],
  "final_energy_ha_per_atom": -0.179,
  "space_group": "R3m (160)"
}

# 5
{
  "formula": "PrNdCl",
  "functional": "PBE",
  "state": "relaxed",
  "lattice_angstrom": [[-0.928, -3.300, -1.026], [5.740, -4.734, 3.797], [-14.676, 2.987, -2.573]],
  "species": ["Cl", "Cl", "Nd", "Nd", "Pr", "Pr"],
  "fractional_positions": [[0.088, 0.553, 0.270], [0.912, 0.447, 0.730], [0.330, 0.796, 0.544], [0.670, 0.204, 0.456], [0.862, 0.287, 0.989], [0.138, 0.713, 0.011]],
  "raw_formation_energy_mev_per_atom": -781,
  "space_group": "C2/m (12)"
}

# 6
{
  "formula": "Pm2GaGe4Au3",
  "functional": "PBE",
  "state": "relaxed",
  "lattice_angstrom": [[-0.643, 3.425, -2.665], [-3.981, 0.608, 1.742], [4.288, 6.630, 7.485]],
  "species": ["Pm", "Pm", "Au", "Au", "Au", "Ge", "Ge", "Ge", "Ge", "Ga"],
  "fractional_positions": [[0.500, 0.000, 0.256], [0.000, 0.500, 0.744], [0.000, 0.500, 0.139], [0.500, 0.000, 0.861], [0.000, 0.000, 0.500], [0.500, 0.000, 0.633], [0.500, 0.500, 0.000], [0.000, 0.000, 0.000], [0.000, 0.500, 0.367], [0.500, 0.500, 0.500]],
  "final_energy_ha_per_atom": -0.168,
  "space_group": "P-4m2 (115)"
}

# 7
{
  "formula": "La3Sn5",
  "functional": "PBE",
  "state": "relaxed",
  "lattice_angstrom": [[-6.116, 1.295, 2.415], [2.154, -4.890, 4.046], [4.156, 7.302, 6.613]],
  "species": ["Sn", "Sn", "Sn", "Sn", "Sn", "Sn", "Sn", "Sn", "Sn", "Sn", "La", "La", "La", "La", "La", "La"],
  "fractional_positions": [[0.316, 0.316, 0.048], [0.926, 0.506, 0.750], [0.976, 0.976, 0.750], [0.684, 0.684, 0.952], [0.316, 0.316, 0.452], [0.494, 0.074, 0.250], [0.074, 0.494, 0.250], [0.684, 0.684, 0.548], [0.024, 0.024, 0.250], [0.506, 0.926, 0.750], [0.634, 0.634, 0.250], [0.797, 0.203, 0.500], [0.203, 0.797, 0.500], [0.203, 0.797, 0.000], [0.797, 0.203, 0.000], [0.366, 0.366, 0.750]],
  "final_energy_ha_per_atom": -0.187,
  "space_group": "Cmcm (63)"
}

# 8
{
  "formula": "MnBTeAu",
  "functional": "PBE",
  "state": "relaxed",
  "lattice_angstrom": [[7.096, 0.000, -0.039], [0.000, 3.299, 0.000], [-1.576, 0.000, 5.470]],
  "species": ["Te", "Te", "B", "B", "Au", "Au", "Mn", "Mn"],
  "fractional_positions": [[0.880, 0.000, 0.374], [0.880, 0.500, 0.874], [0.482, 0.500, 0.734], [0.482, 0.000, 0.234], [0.246, 0.000, 0.826], [0.246, 0.500, 0.326], [0.617, 0.500, 0.447], [0.617, 0.000, 0.947]],
  "raw_formation_energy_mev_per_atom": 359,
  "space_group": "Cm (8)"
}

# 9
{
  "formula": "K2Mg3Cd12Ag",
  "functional": "PBE",
  "state": "relaxed",
  "lattice_angstrom": [[11.051, 2.084, 1.478], [7.269, 8.581, 1.478], [7.269, 4.231, 7.610]],
  "species": ["Ag", "K", "K", "Mg", "Mg", "Mg", "Cd", "Cd", "Cd", "Cd", "Cd", "Cd", "Cd", "Cd", "Cd", "Cd", "Cd", "Cd"],
  "fractional_positions": [[0.000, 0.000, 0.000], [0.347, 0.347, 0.347], [0.653, 0.653, 0.653], [0.500, 0.000, 0.000], [0.000, 0.000, 0.500], [0.000, 0.500, 0.000], [0.581, 0.581, 0.189], [0.067, 0.067, 0.654], [0.419, 0.811, 0.419], [0.346, 0.933, 0.933], [0.067, 0.654, 0.067], [0.189, 0.581, 0.581], [0.933, 0.346, 0.933], [0.811, 0.419, 0.419], [0.654, 0.067, 0.067], [0.933, 0.933, 0.346], [0.581, 0.189, 0.581], [0.419, 0.419, 0.811]],
  "final_energy_ha_per_atom": -0.041,
  "space_group": "R-3m (166)"
}

# 10
{
  "formula": "BaTiTl2H",
  "functional": "PBE",
  "state": "relaxed",
  "lattice_angstrom": [[-2.916, -1.501, 4.285], [2.993, -5.617, 0.070], [3.765, 2.047, 3.279]],
  "species": ["Ba", "H", "Ti", "Tl", "Tl"],
  "fractional_positions": [[0.000, 0.500, 0.000], [0.500, 0.500, 0.500], [0.000, 0.000, 0.000], [0.500, 0.000, 0.000], [0.000, 0.000, 0.500]],
  "final_energy_ha_per_atom": -0.107,
  "space_group": "P4/mmm (123)"
}

# 11
{
  "formula": "MnWS4",
  "functional": "PBE",
  "state": "relaxed",
  "lattice_angstrom": [[-2.542, -2.027, -0.688], [3.666, -4.130, -1.379], [-0.131, -1.681, 5.436]],
  "species": ["S", "S", "S", "S", "W", "Mn"],
  "fractional_positions": [[0.000, 0.198, 0.198], [0.000, 0.802, 0.802], [0.500, 0.290, 0.710], [0.500, 0.710, 0.290], [0.000, 0.500, 0.500], [0.500, 0.000, 0.000]],
  "raw_formation_energy_mev_per_atom": -389,
  "space_group": "Cmmm (65)"
}

# 12
{
  "formula": "Mg2SbTe",
  "functional": "PBE",
  "state": "relaxed",
  "lattice_angstrom": [[-0.463, -1.402, 3.868], [5.487, -4.847, -1.100], [5.957, -0.901, 0.386]],
  "species": ["Mg", "Mg", "Te", "Sb"],
  "fractional_positions": [[0.500, 0.500, 0.000], [0.000, 0.000, 0.000], [0.000, 0.000, 0.500], [0.500, 0.500, 0.500]],
  "raw_formation_energy_mev_per_atom": -440,
  "space_group": "P2/m (10)"
}

# 13
{
  "formula": "Nd2Pd7Pt",
  "functional": "PBE",
  "state": "relaxed",
  "lattice_angstrom": [[6.920, 0.000, 0.000], [3.460, 5.993, 0.000], [3.460, 1.998, 5.650]],
  "species": ["Pd", "Pd", "Pd", "Pd", "Pd", "Pd", "Pd", "Pt", "Nd", "Nd"],
  "fractional_positions": [[0.749, 0.251, 0.749], [0.749, 0.251, 0.251], [0.251, 0.749, 0.251], [0.500, 0.500, 0.500], [0.251, 0.251, 0.749], [0.251, 0.749, 0.749], [0.749, 0.749, 0.251], [0.000, 0.000, 0.000], [0.250, 0.250, 0.250], [0.750, 0.750, 0.750]],
  "final_energy_ha_per_atom": -0.184,
  "space_group": "Fm-3m (225)"
}

# 14
{
  "formula": "NdDy2HoTm2",
  "functional": "PBE",
  "state": "relaxed",
  "lattice_angstrom": [[-0.773, -0.729, -3.222], [-3.715, -4.920, 2.005], [-13.968, 10.906, 0.885]],
  "species": ["Ho", "Ho", "Dy", "Dy", "Dy", "Dy", "Tm", "Tm", "Tm", "Tm", "Nd", "Nd"],
  "fractional_positions": [[0.000, 0.000, 0.500], [0.500, 0.500, 0.000], [0.500, 0.721, 0.688], [0.000, 0.779, 0.188], [0.000, 0.221, 0.812], [0.500, 0.279, 0.312], [0.500, 0.781, 0.352], [0.000, 0.719, 0.852], [0.500, 0.219, 0.648], [0.000, 0.281, 0.148], [0.000, 0.000, 0.000], [0.500, 0.500, 0.500]],
  "final_energy_ha_per_atom": -0.158,
  "space_group": "Pnnm (58)"
}

# 15
{
  "formula": "Tm2SnAu4",
  "functional": "PBE",
  "state": "relaxed",
  "lattice_angstrom": [[-3.588, -2.463, 2.180], [0.205, -0.872, 4.784], [-4.916, 5.639, 3.715]],
  "species": ["Au", "Au", "Au", "Au", "Sn", "Tm", "Tm"],
  "fractional_positions": [[0.381, 0.381, 0.857], [0.128, 0.128, 0.615], [0.619, 0.619, 0.143], [0.872, 0.872, 0.385], [0.000, 0.000, 0.000], [0.250, 0.250, 0.250], [0.750, 0.750, 0.750]],
  "final_energy_ha_per_atom": -0.159,
  "space_group": "R-3m (166)"
}

# 16
{
  "formula": "PrEr2Cd2In2",
  "functional": "PBE",
  "state": "relaxed",
  "lattice_angstrom": [[4.982, 0.000, 0.000], [2.491, 4.315, 0.000], [2.491, 1.438, 8.879]],
  "species": ["Cd", "Cd", "Er", "Er", "In", "In", "Pr"],
  "fractional_positions": [[0.584, 0.584, 0.249], [0.416, 0.416, 0.751], [0.131, 0.131, 0.607], [0.869, 0.869, 0.393], [0.260, 0.260, 0.219], [0.740, 0.740, 0.781], [0.000, 0.000, 0.000]],
  "final_energy_ha_per_atom": -0.121,
  "space_group": "R-3m (166)"
}

# 17
{
  "formula": "SrPmGd2",
  "functional": "PBE",
  "state": "relaxed",
  "lattice_angstrom": [[3.712, 0.000, 0.000], [0.000, 3.712, 0.000], [0.000, 0.000, 10.734]],
  "species": ["Sr", "Gd", "Gd", "Pm"],
  "fractional_positions": [[0.500, 0.500, 0.500], [0.000, 0.000, 0.223], [0.000, 0.000, 0.777], [0.500, 0.500, 0.000]],
  "final_energy_ha_per_atom": -0.314,
  "space_group": "P4/mmm (123)"
}

# 18
{
  "formula": "Er3TmPu3Se8",
  "functional": "PBE",
  "state": "relaxed",
  "lattice_angstrom": [[8.144, 0.000, 0.000], [-4.072, 7.050, -0.024], [0.000, -4.675, 6.739]],
  "species": ["Pu", "Pu", "Pu", "Se", "Se", "Se", "Se", "Se", "Se", "Se", "Se", "Er", "Er", "Er", "Tm"],
  "fractional_positions": [[0.000, 0.000, 0.000], [0.000, 0.500, 0.000], [0.500, 0.500, 0.000], [0.249, 0.498, 0.741], [0.252, 0.504, 0.257], [0.745, 0.993, 0.742], [0.748, 0.496, 0.743], [0.752, 0.007, 0.258], [0.248, 0.993, 0.742], [0.751, 0.502, 0.259], [0.255, 0.007, 0.258], [0.500, 0.000, 0.500], [0.000, 0.500, 0.500], [0.500, 0.500, 0.500], [0.000, 0.000, 0.500]],
  "raw_formation_energy_mev_per_atom": -1760,
  "space_group": "C2/m (12)"
}

# 19
{
  "formula": "Sr3Si4Pt2",
  "functional": "PBE",
  "state": "relaxed",
  "lattice_angstrom": [[4.002, 0.000, 0.000], [-2.001, 5.989, -0.700], [0.000, 0.216, 8.789]],
  "species": ["Pt", "Pt", "Si", "Si", "Si", "Si", "Sr", "Sr", "Sr"],
  "fractional_positions": [[0.390, 0.781, 0.723], [0.610, 0.219, 0.277], [0.948, 0.896, 0.611], [0.280, 0.559, 0.938], [0.720, 0.441, 0.062], [0.052, 0.104, 0.389], [0.669, 0.337, 0.665], [0.331, 0.663, 0.335], [0.000, 0.000, 0.000]],
  "raw_formation_energy_mev_per_atom": -806,
  "space_group": "C2/m (12)"
}

# 20
{
  "formula": "GaH3",
  "functional": "PBE",
  "state": "relaxed",
  "lattice_angstrom": [[-3.364, -0.589, 1.589], [-2.493, -1.744, -2.221], [3.572, -0.638, 1.010]],
  "species": ["H", "H", "H", "Ga"],
  "fractional_positions": [[0.750, 0.250, 0.500], [0.500, 0.500, 0.000], [0.250, 0.750, 0.500], [0.000, 0.000, 0.000]],
  "final_energy_ha_per_atom": -0.094,
  "space_group": "I4/mmm (139)"
}